## V2SnO6 (GGA+U)

Data for crystalline V2SnO6 at its relaxed geometry.

Cell and atoms, written as POSCAR:
```
V2SnO6
1.0
5.006 0.000 0.000
-2.503 4.335 0.000
0.000 0.000 4.536
V Sn O
2 1 6
direct
0.333 0.667 0.000
0.667 0.333 0.000
0.000 0.000 0.500
0.000 0.347 0.765
0.000 0.653 0.235
0.347 0.000 0.765
0.347 0.347 0.235
0.653 0.000 0.235
0.653 0.653 0.765
```

Results
Calculated volume: 10.9 Å³/atom
DOS at the Fermi energy: 0.50 states/eV per atom
Final energy: -0.5277 Ry/atom